MgSc6Cu5 after structural relaxation. Source: Alexandria via LeMat-Bulk, functional PBE-GGA.

DOS at the Fermi energy   0.70 states/eV/atom
Raw total energy   -5.22 eV/atom
Energy of formation   -244 kJ/mol of formula units

Cell lengths 4.6915, 6.5731, 7.4264 Å; angles 90.00, 108.38, 90.00 degrees
With the nearest neighbours (Å) after each atom.
Fractional coordinates of all 12 atoms:
Mg 0.0000 0.0000 0.0000  8 Sc 2.92-2.95, 4 Cu 3.19
Sc 0.1726 0.2538 0.3458  7 Cu 2.78-2.96, 1 Mg 2.95
Sc 0.1726 0.7462 0.3458  7 Cu 2.78-2.96, 1 Mg 2.95
Sc 0.5000 0.2652 0.0000  6 Cu 2.78-2.81, 2 Mg 2.92, 1 Sc 3.09
Sc 0.5000 0.7348 0.0000  6 Cu 2.78-2.81, 2 Mg 2.92, 1 Sc 3.09
Sc 0.8274 0.2538 0.6542  7 Cu 2.78-2.96, 1 Mg 2.95
Sc 0.8274 0.7462 0.6542  7 Cu 2.78-2.96, 1 Mg 2.95
Cu 0.0000 0.5000 0.0000  8 Sc 2.81-2.93
Cu 0.3349 0.5000 0.6670  8 Sc 2.78-2.86
Cu 0.3465 0.0000 0.6929  8 Sc 2.78-2.96
Cu 0.6535 0.0000 0.3071  8 Sc 2.78-2.96
Cu 0.6651 0.5000 0.3330  8 Sc 2.78-2.86

---

MgSc3Cu4 after structural relaxation. Source: Alexandria via LeMat-Bulk, functional PBE-GGA.

DOS at the Fermi energy   0.65 states/eV/atom
Raw total energy   -4.87 eV/atom
Energy of formation   -191 kJ/mol of formula units

Cell lengths 7.9306, 7.9306, 7.9306 Å; angles 33.45, 33.45, 33.45 degrees
With the nearest neighbours (Å) after each atom.
Fractional coordinates of all 8 atoms:
Mg 0.0000 0.0000 0.0000  8 Cu 2.80-2.85
Sc 0.2521 0.2521 0.2521  8 Cu 2.77-2.83
Sc 0.5000 0.5000 0.5000  8 Cu 2.78
Sc 0.7479 0.7479 0.7479  8 Cu 2.77-2.83
Cu 0.1269 0.1269 0.1269  7 Sc 2.78-2.83, 1 Mg 2.85
Cu 0.3761 0.3761 0.3761  5 Sc 2.77-2.78, 3 Mg 2.80
Cu 0.6239 0.6239 0.6239  5 Sc 2.77-2.78, 3 Mg 2.80
Cu 0.8731 0.8731 0.8731  7 Sc 2.78-2.83, 1 Mg 2.85

---

Mg3ScCu4 after structural relaxation. Source: Alexandria via LeMat-Bulk, functional PBE-GGA.

DOS at the Fermi energy   0.37 states/eV/atom
Raw total energy   -3.58 eV/atom
Energy of formation   -111 kJ/mol of formula units

Cell lengths 4.4816, 4.4816, 6.4203 Å; angles 90.00, 90.00, 90.00 degrees
With the nearest neighbours (Å) after each atom.
Fractional coordinates of all 8 atoms:
Mg 0.0000 0.0000 0.0000  8 Cu 2.75
Mg 0.0000 0.0000 0.5000  8 Cu 2.76
Mg 0.5000 0.5000 0.0000  8 Cu 2.75
Sc 0.5000 0.5000 0.5000  8 Cu 2.76
Cu 0.0000 0.5000 0.2492  6 Mg 2.75-2.76, 2 Sc 2.76
Cu 0.0000 0.5000 0.7508  6 Mg 2.75-2.76, 2 Sc 2.76
Cu 0.5000 0.0000 0.2492  6 Mg 2.75-2.76, 2 Sc 2.76
Cu 0.5000 0.0000 0.7508  6 Mg 2.75-2.76, 2 Sc 2.76

---

MgSc3Cu8 after structural relaxation. Source: Alexandria via LeMat-Bulk, functional PBE-GGA.

DOS at the Fermi energy   0.68 states/eV/atom
Raw total energy   -4.68 eV/atom
Energy of formation   -266 kJ/mol of formula units

Cell lengths 5.0511, 5.0511, 8.1393 Å; angles 90.00, 90.00, 120.00 degrees
With the nearest neighbours (Å) after each atom.
Fractional coordinates of all 12 atoms:
Mg 0.0000 0.0000 0.0000  12 Cu 2.88-2.98, 4 Sc 3.05-3.06
Sc 0.0000 0.0000 0.3755  12 Cu 2.92-2.97, 1 Mg 3.06, 3 Sc 3.11
Sc 0.6667 0.3333 0.5071  12 Cu 2.92-2.96, 4 Sc 3.11-3.12
Sc 0.6667 0.3333 0.8909  12 Cu 2.87-2.99, 3 Mg 3.05, 1 Sc 3.12
Cu 0.1641 0.3283 0.6934  6 Cu 2.49-2.56
Cu 0.1641 0.8359 0.6934  6 Cu 2.49-2.56
Cu 0.3333 0.6667 0.4468  6 Cu 2.49-2.52
Cu 0.3333 0.6667 0.9452  6 Cu 2.51-2.53
Cu 0.5015 0.0029 0.1949  6 Cu 2.50-2.55
Cu 0.5015 0.4985 0.1949  6 Cu 2.50-2.55
Cu 0.6717 0.8359 0.6934  6 Cu 2.49-2.56
Cu 0.9971 0.4985 0.1949  6 Cu 2.50-2.55